# 1
AgGe2Te6Au: optimized geometry, PBE.

The formation energy without anion corrections comes out at 0.052 eV/atom. The value obtained for the total energy is -3.37 eV/atom. The density of states at the Fermi level comes out at 6.93 states/eV/f.u.

a = 9.579 Å, b = 9.579 Å, c = 7.158 Å
α = 102.83°, β = 102.83°, γ = 85.21°
Atoms (fractional coordinates):
1 Ag 0.124 0.876 0.750
2 Ag 0.876 0.124 0.250
3 Ge 0.230 0.379 0.746
4 Ge 0.379 0.230 0.246
5 Ge 0.621 0.770 0.754
6 Ge 0.770 0.621 0.254
7 Te 0.039 0.175 0.647
8 Te 0.097 0.618 0.908
9 Te 0.175 0.039 0.147
10 Te 0.294 0.473 0.458
11 Te 0.382 0.903 0.592
12 Te 0.473 0.294 0.958
13 Te 0.527 0.706 0.042
14 Te 0.618 0.097 0.408
15 Te 0.706 0.527 0.542
16 Te 0.825 0.961 0.853
17 Te 0.903 0.382 0.092
18 Te 0.961 0.825 0.353
19 Au 0.260 0.740 0.250
20 Au 0.740 0.260 0.750

---

# 2
Hg6Br: optimized geometry, PBE.

The formation energy without anion corrections comes out at -0.067 eV/atom. The value obtained for the total energy is -0.56 eV/atom. The density of states at the Fermi level comes out at 2.13 states/eV/f.u.

a = 7.528 Å, b = 7.528 Å, c = 7.878 Å
α = 90.00°, β = 90.00°, γ = 90.00°
Atoms (fractional coordinates):
1 Hg 0.092 0.592 0.156
2 Hg 0.092 0.908 0.844
3 Hg 0.250 0.250 0.312
4 Hg 0.250 0.250 0.688
5 Hg 0.408 0.592 0.844
6 Hg 0.408 0.908 0.156
7 Hg 0.592 0.092 0.844
8 Hg 0.592 0.408 0.156
9 Hg 0.750 0.750 0.312
10 Hg 0.750 0.750 0.688
11 Hg 0.908 0.092 0.156
12 Hg 0.908 0.408 0.844
13 Br 0.250 0.750 0.500
14 Br 0.750 0.250 0.500

---

# 3
GeOs: optimized geometry, PBE.

As for the formation energy: 992.5 meV per atom. The value obtained for the total energy is -6.93 eV/atom. The density of states at the Fermi level comes out at 1.48 states/eV/f.u.

a = 3.923 Å, b = 3.923 Å, c = 3.923 Å
α = 60.00°, β = 60.00°, γ = 60.00°
Atoms (fractional coordinates):
1 Ge 0.000 0.000 0.000
2 Os 0.750 0.750 0.750

---

# 4
SrLuCdAg: optimized geometry, PBE.

As for the formation energy: -201.7 meV per atom. The value obtained for the total energy is -2.69 eV/atom. The density of states at the Fermi level comes out at 2.58 states/eV/f.u.

a = 5.355 Å, b = 5.355 Å, c = 5.355 Å
α = 60.00°, β = 60.00°, γ = 60.00°
Atoms (fractional coordinates):
1 Sr 0.000 0.000 0.000
2 Lu 0.500 0.500 0.500
3 Cd 0.250 0.250 0.250
4 Ag 0.750 0.750 0.750

---

# 5
MnInOsCl2: optimized geometry, PBE.

The formation energy without anion corrections comes out at 0.560 eV/atom. The value obtained for the total energy is -4.81 eV/atom. The density of states at the Fermi level comes out at 4.54 states/eV/f.u.

a = 4.799 Å, b = 4.799 Å, c = 5.034 Å
α = 90.00°, β = 90.00°, γ = 90.00°
Atoms (fractional coordinates):
1 Mn 0.000 0.000 0.000
2 In 0.500 0.500 0.000
3 Os 0.000 0.000 0.500
4 Cl 0.000 0.500 0.500
5 Cl 0.500 0.000 0.500

---

# 6
ZrCrPt2: optimized geometry, PBE.

As for the formation energy: 133.9 meV per atom. The value obtained for the total energy is -7.43 eV/atom. The density of states at the Fermi level comes out at 6.57 states/eV/f.u.

a = 8.395 Å, b = 8.395 Å, c = 8.395 Å
α = 148.44°, β = 148.44°, γ = 45.24°
Atoms (fractional coordinates):
1 Zr 0.000 0.000 0.000
2 Zr 0.750 0.250 0.500
3 Cr 0.250 0.750 0.500
4 Cr 0.500 0.500 0.000
5 Pt 0.196 0.625 0.071
6 Pt 0.375 0.446 0.571
7 Pt 0.554 0.125 0.929
8 Pt 0.875 0.804 0.429

---

# 7
ZnCdPb3: optimized geometry, PBE.

As for the formation energy: 327.4 meV per atom. The value obtained for the total energy is -2.34 eV/atom. The density of states at the Fermi level comes out at 0.69 states/eV/f.u.

a = 5.434 Å, b = 5.434 Å, c = 5.434 Å
α = 90.00°, β = 90.00°, γ = 90.00°
Atoms (fractional coordinates):
1 Zn 0.000 0.000 0.000
2 Cd 0.500 0.500 0.500
3 Pb 0.000 0.000 0.500
4 Pb 0.000 0.500 0.000
5 Pb 0.500 0.000 0.000

---

# 8
Pm5YHo2Th: optimized geometry, PBE.

As for the formation energy: 152.2 meV per atom. The value obtained for the total energy is -5.05 eV/atom. The density of states at the Fermi level comes out at 11.02 states/eV/f.u.

a = 11.275 Å, b = 11.275 Å, c = 9.837 Å
α = 90.00°, β = 90.00°, γ = 150.21°
Atoms (fractional coordinates):
1 Pm 0.015 0.985 0.500
2 Pm 0.274 0.726 0.200
3 Pm 0.302 0.698 0.802
4 Pm 0.400 0.600 0.474
5 Pm 0.467 0.533 0.773
6 Pm 0.533 0.467 0.273
7 Pm 0.600 0.400 0.974
8 Pm 0.698 0.302 0.302
9 Pm 0.726 0.274 0.700
10 Pm 0.985 0.015 0.000
11 Y 0.187 0.813 0.500
12 Y 0.813 0.187 0.000
13 Ho 0.118 0.882 0.182
14 Ho 0.125 0.875 0.802
15 Ho 0.875 0.125 0.302
16 Ho 0.882 0.118 0.682
17 Th 0.406 0.594 0.093
18 Th 0.594 0.406 0.593

---

# 9
Dy7Hg2Ru2: optimized geometry, PBE.

As for the formation energy: -269.0 meV per atom. The value obtained for the total energy is -4.94 eV/atom. The density of states at the Fermi level comes out at 9.10 states/eV/f.u.

a = 6.717 Å, b = 6.717 Å, c = 7.145 Å
α = 90.00°, β = 90.00°, γ = 107.85°
Atoms (fractional coordinates):
1 Dy 0.000 0.000 0.000
2 Dy 0.000 0.500 0.252
3 Dy 0.000 0.500 0.748
4 Dy 0.500 0.000 0.252
5 Dy 0.500 0.000 0.748
6 Dy 0.500 0.500 0.242
7 Dy 0.500 0.500 0.758
8 Hg 0.184 0.184 0.500
9 Hg 0.816 0.816 0.500
10 Ru 0.294 0.706 0.000
11 Ru 0.706 0.294 0.000

---

# 10
Pm4NdHo2Er: optimized geometry, PBE.

As for the formation energy: 17.3 meV per atom. The value obtained for the total energy is -4.67 eV/atom. The density of states at the Fermi level comes out at 11.01 states/eV/f.u.

a = 6.236 Å, b = 3.614 Å, c = 11.915 Å
α = 90.00°, β = 100.15°, γ = 90.00°
Atoms (fractional coordinates):
1 Pm 0.248 0.000 0.247
2 Pm 0.251 0.500 0.752
3 Pm 0.749 0.500 0.248
4 Pm 0.752 0.000 0.753
5 Nd 0.500 0.500 0.500
6 Ho 0.000 0.000 0.500
7 Ho 0.000 0.500 0.000
8 Er 0.500 0.000 0.000

---

# 11
ZrBeAs2: optimized geometry, PBE.

As for the formation energy: -494.4 meV per atom. The value obtained for the total energy is -5.89 eV/atom. The density of states at the Fermi level comes out at 1.90 states/eV/f.u.

a = 3.833 Å, b = 5.679 Å, c = 5.679 Å
α = 36.44°, β = 90.00°, γ = 90.00°
Atoms (fractional coordinates):
1 Zr 0.000 0.000 0.000
2 Be 0.500 0.375 0.375
3 As 0.000 0.280 0.280
4 As 0.500 0.581 0.581

---

# 12
NdY2Mg4: optimized geometry, PBE.

As for the formation energy: 119.9 meV per atom. The value obtained for the total energy is -3.32 eV/atom. The density of states at the Fermi level comes out at 6.39 states/eV/f.u.

a = 8.264 Å, b = 8.264 Å, c = 8.264 Å
α = 141.81°, β = 141.81°, γ = 55.11°
Atoms (fractional coordinates):
1 Nd 0.000 0.000 0.000
2 Y 0.252 0.252 0.000
3 Y 0.748 0.748 0.000
4 Mg 0.119 0.619 0.500
5 Mg 0.381 0.881 0.500
6 Mg 0.619 0.119 0.500
7 Mg 0.881 0.381 0.500